Below is a relaxed Ba2TaMo crystal, with properties calculated at the PBE level.

crystal system: cubic
ρ: 8.54 g/cm3
total DFT energy (no corrections): -0.1926 hartree per atom
volume: 26.83 Å³/atom

Lattice parameters (Å, degrees): 5.3339 5.3339 5.3339 60.00 60.00 60.00
With the nearest neighbours (Å) after each atom.
Element x y z (fractional)
Ba 0.5000 0.5000 0.5000  4 Ba 3.27, 4 Ta 3.27
Ba 0.7500 0.7500 0.7500  4 Ba 3.27, 4 Mo 3.27
Mo 0.0000 0.0000 0.0000  4 Ba 3.27, 4 Ta 3.27
Ta 0.2500 0.2500 0.2500  4 Ba 3.27, 4 Mo 3.27